# 1
Ho4ZnGa2 | PBE-GGA | optimized geometry

size of the total moment	0.00	μB/f.u.
DFT total energy	-4.05	eV per atom
calculated volume	175	Å³/cell
D(E_F)	4.2	states/eV per cell
crystal system	tetragonal
DFT formation energy	-390	meV per atom

a = 6.109 Å, b = 6.109 Å, c = 6.109 Å
α = 109.98°, β = 109.98°, γ = 108.46°
Atoms (fractional coordinates):
Ho 0.000 0.000 0.500
Ho 0.000 0.500 0.000
Ho 0.500 0.000 0.000
Ho 0.500 0.500 0.500
Zn 0.000 0.000 0.000
Ga 0.000 0.500 0.500
Ga 0.500 0.000 0.500

# 2
HoZnGa3 | PBE-GGA | optimized geometry

size of the total moment	0.00	μB/f.u.
DFT total energy	-3.21	eV per atom
calculated volume	201	Å³/cell
D(E_F)	5.3	states/eV per cell
crystal system	orthorhombic
DFT formation energy	-228	meV per atom

a = 5.611 Å, b = 3.076 Å, c = 11.623 Å
α = 90.00°, β = 90.00°, γ = 90.00°
Atoms (fractional coordinates):
Ho 0.250 0.000 0.194
Ho 0.750 0.000 0.806
Zn 0.250 0.500 0.801
Zn 0.750 0.500 0.199
Ga 0.000 0.500 0.000
Ga 0.007 0.500 0.391
Ga 0.493 0.500 0.391
Ga 0.500 0.500 0.000
Ga 0.507 0.500 0.609
Ga 0.993 0.500 0.609